Below is a relaxed structure of Fe2TeBr, with properties calculated at the PBE-GGA level.

Computed properties:
The space-group type is No. 47. Its calculated volume is 89 Å³/cell. Its formation energy without anion corrections is 0.6121 eV/atom.

Unit cell a=3.2390 b=6.7083 c=4.0794 alpha=90.00 beta=90.00 gamma=90.00
With the nearest neighbours (Å) after each atom.
Sites, in units of the cell vectors:
Fe 0.0000 0.0000 0.0000  4 Te 2.60
Te 0.5000 0.0000 0.5000  4 Fe 2.60
Br 0.0000 0.5000 0.5000  4 Fe 2.60
Fe 0.5000 0.5000 0.0000  4 Br 2.60

---

Below is a relaxed structure of Fe3TeBr, with properties calculated at the PBE-GGA level.

Computed properties:
The space-group type is No. 221. Its calculated volume is 99 Å³/cell. Its formation energy without anion corrections is 1.0161 eV/atom.

Unit cell a=4.6186 b=4.6186 c=4.6186 alpha=90.00 beta=90.00 gamma=90.00
With the nearest neighbours (Å) after each atom.
Sites, in units of the cell vectors:
Fe 0.0000 0.0000 0.5000  2 Br 2.31
Fe 0.0000 0.5000 0.0000  2 Br 2.31
Fe 0.5000 0.0000 0.0000  2 Br 2.31
Te 0.5000 0.5000 0.5000  12 Fe 3.27
Br 0.0000 0.0000 0.0000  6 Fe 2.31

---

Below is a relaxed structure of Fe2TeBr, with properties calculated at the PBE-GGA level.

Computed properties:
The space-group type is No. 160. Its calculated volume is 90 Å³/cell. Its formation energy without anion corrections is 0.1147 eV/atom.

Unit cell a=7.6689 b=7.6689 c=7.6689 alpha=28.37 beta=28.37 gamma=28.37
With the nearest neighbours (Å) after each atom.
Sites, in units of the cell vectors:
Fe 0.2645 0.2645 0.2645  3 Fe 2.42, 3 Te 2.50
Te 0.5415 0.5415 0.5415  3 Fe 2.50
Fe 0.9797 0.9797 0.9797  3 Fe 2.42, 3 Br 2.64
Br 0.7143 0.7143 0.7143  3 Fe 2.64

---

Below is a relaxed structure of FeTe3Br, with properties calculated at the PBE-GGA level.

Computed properties:
The space-group type is No. 221. Its calculated volume is 131 Å³/cell. Its formation energy without anion corrections is 0.3931 eV/atom.

Unit cell a=5.0740 b=5.0740 c=5.0740 alpha=90.00 beta=90.00 gamma=90.00
With the nearest neighbours (Å) after each atom.
Sites, in units of the cell vectors:
Te 0.0000 0.5000 0.0000  2 Fe 2.54
Fe 0.0000 0.0000 0.0000  6 Te 2.54
Te 0.0000 0.0000 0.5000  2 Fe 2.54
Te 0.5000 0.0000 0.0000  2 Fe 2.54
Br 0.5000 0.5000 0.5000  12 Te 3.59

---

Below is a relaxed structure of Fe3TeBr9, with properties calculated at the PBE-GGA level.

Computed properties:
The space-group type is No. 9. Its calculated volume is 971 Å³/cell. Its formation energy without anion corrections is -0.3347 eV/atom.

Unit cell a=9.5892 b=10.7309 c=11.6096 alpha=76.40 beta=65.61 gamma=63.46
With the nearest neighbours (Å) after each atom.
Sites, in units of the cell vectors:
Br 0.2649 0.8744 0.0752  2 Fe 2.44-2.47
Te 0.0212 0.4954 0.0009  6 Br 2.95-3.22
Br 0.4721 0.2476 0.5847  1 Fe 2.35
Br 0.0818 0.5682 0.5386  2 Fe 2.44-2.47
Br 0.4756 0.5021 0.2304  2 Fe 2.44-2.46
Fe 0.2207 0.4599 0.3361  4 Br 2.34-2.44
Br 0.5941 0.7574 0.6813  1 Fe 2.36
Te 0.4824 0.9954 0.5009  6 Br 2.95-3.22
Br 0.3015 0.2161 0.3468  1 Fe 2.36
Br 0.0368 0.5745 0.2255  1 Fe 2.34
Fe 0.6065 0.2491 0.7136  4 Br 2.33-2.47
Fe 0.8187 0.5376 0.6663  4 Br 2.34-2.47
Br 0.7919 0.0021 0.7304  2 Fe 2.44-2.46
Br 0.8391 0.4459 0.8657  1 Fe 2.34
Fe 0.9774 0.0376 0.1663  4 Br 2.34-2.47
Br 0.3381 0.8292 0.4127  1 Fe 2.33
Fe 0.9833 0.9599 0.8361  4 Br 2.34-2.44
Br 0.7855 0.3744 0.5752  2 Fe 2.44-2.47
Br 0.8114 0.0682 0.0386  2 Fe 2.44-2.47
Br 0.4200 0.3292 0.9127  1 Fe 2.33
Br 0.8493 0.9459 0.3657  1 Fe 2.34
Fe 0.4309 0.7491 0.2136  4 Br 2.33-2.47
Br 0.1633 0.0745 0.7255  1 Fe 2.34
Br 0.1356 0.7161 0.8468  1 Fe 2.36
Br 0.9673 0.2574 0.1813  1 Fe 2.36
Br 0.6956 0.7476 0.0847  1 Fe 2.35

---

Below is a relaxed structure of FeTe2Br, with properties calculated at the PBE-GGA level.

Computed properties:
The space-group type is No. 160. Its calculated volume is 109 Å³/cell. Its formation energy without anion corrections is 0.0645 eV/atom.

Unit cell a=10.5926 b=10.5926 c=10.5926 alpha=18.87 beta=18.87 gamma=18.87
With the nearest neighbours (Å) after each atom.
Sites, in units of the cell vectors:
Te 0.9700 0.9700 0.9700  3 Fe 2.55
Te 0.7404 0.7404 0.7404  9 Te 3.47-3.81
Br 0.5369 0.5369 0.5369  3 Fe 2.53
Fe 0.2528 0.2528 0.2528  3 Br 2.53, 3 Te 2.55

---

Below is a relaxed structure of Fe2TeBr, with properties calculated at the PBE-GGA level.

Computed properties:
The space-group type is No. 44. Its calculated volume is 94 Å³/cell. Its formation energy without anion corrections is 0.1899 eV/atom.

Unit cell a=8.0549 b=8.0549 c=8.0549 alpha=155.82 beta=153.96 gamma=35.83
With the nearest neighbours (Å) after each atom.
Sites, in units of the cell vectors:
Br 0.7550 0.2550 0.5000  4 Fe 2.78
Fe 0.1730 0.6730 0.5000  2 Fe 2.37
Fe 0.0641 0.0641 0.0000  2 Fe 2.37, 4 Te 2.62
Te 0.5079 0.5079 0.0000  4 Fe 2.62

---

Below is a relaxed structure of Fe2TeBr, with properties calculated at the PBE-GGA level.

Computed properties:
The space-group type is No. 123. Its calculated volume is 82 Å³/cell. Its formation energy without anion corrections is 0.4782 eV/atom.

Unit cell a=3.4516 b=3.4516 c=6.8828 alpha=90.00 beta=90.00 gamma=90.00
With the nearest neighbours (Å) after each atom.
Sites, in units of the cell vectors:
Br 0.5000 0.5000 0.7500  8 Fe 3.28, 2 Te 3.44, 4 Br 3.45
Fe 0.0000 0.0000 0.4324  1 Fe 2.51, 4 Te 2.74
Te 0.5000 0.5000 0.2500  8 Fe 2.74
Fe 0.0000 0.0000 0.0676  1 Fe 2.51, 4 Te 2.74

---

Below is a relaxed structure of Fe2TeBr, with properties calculated at the PBE-GGA level.

Computed properties:
The space-group type is No. 166. Its calculated volume is 79 Å³/cell. Its formation energy without anion corrections is 0.4314 eV/atom.

Unit cell a=7.6211 b=7.6211 c=7.6211 alpha=26.73 beta=26.73 gamma=26.73
With the nearest neighbours (Å) after each atom.
Sites, in units of the cell vectors:
Fe 0.9988 0.9988 0.9988  3 Te 2.72, 3 Br 2.76
Te 0.2500 0.2500 0.2500  6 Fe 2.72
Br 0.7500 0.7500 0.7500  6 Fe 2.76
Fe 0.5012 0.5012 0.5012  3 Te 2.72, 3 Br 2.76

---

Below is a relaxed structure of Th6FeBr15, with properties calculated at the PBE-GGA level.

Computed properties:
The space-group type is No. 229. Its calculated volume is 803 Å³/cell. Its formation energy without anion corrections is -1.5427 eV/atom.

Unit cell a=10.1432 b=10.1432 c=10.1432 alpha=109.47 beta=109.47 gamma=109.47
With the nearest neighbours (Å) after each atom.
Sites, in units of the cell vectors:
Br 0.5000 0.5000 0.0000  2 Th 3.08
Br 0.2501 0.5002 0.2501  2 Th 2.93
Br 0.7499 0.7499 0.4998  2 Th 2.93
Br 0.4998 0.7499 0.7499  2 Th 2.93
Th 0.2373 0.0000 0.2373  1 Fe 2.78, 5 Br 2.93-3.08
Br 0.7499 0.4998 0.7499  2 Th 2.93
Br 0.5000 0.0000 0.5000  2 Th 3.08
Br 0.0000 0.7499 0.2501  2 Th 2.93
Th 0.2373 0.2373 0.0000  1 Fe 2.78, 5 Br 2.93-3.08
Br 0.0000 0.2501 0.7499  2 Th 2.93
Br 0.0000 0.5000 0.5000  2 Th 3.08
Br 0.2501 0.7499 0.0000  2 Th 2.93
Br 0.7499 0.0000 0.2501  2 Th 2.93
Fe 0.0000 0.0000 0.0000  6 Th 2.78
Th 0.7627 0.7627 0.0000  1 Fe 2.78, 5 Br 2.93-3.08
Br 0.7499 0.2501 0.0000  2 Th 2.93
Br 0.5002 0.2501 0.2501  2 Th 2.93
Th 0.0000 0.7627 0.7627  1 Fe 2.78, 5 Br 2.93-3.08
Br 0.2501 0.2501 0.5002  2 Th 2.93
Br 0.2501 0.0000 0.7499  2 Th 2.93
Th 0.0000 0.2373 0.2373  1 Fe 2.78, 5 Br 2.93-3.08
Th 0.7627 0.0000 0.7627  1 Fe 2.78, 5 Br 2.93-3.08

---

Below is a relaxed structure of Th3FeBr3, with properties calculated at the PBE-GGA level.

Computed properties:
The space-group type is No. 11. Its calculated volume is 418 Å³/cell. Its formation energy without anion corrections is -0.9948 eV/atom.

Unit cell a=3.8311 b=9.1667 c=11.9233 alpha=87.38 beta=90.00 gamma=90.00
With the nearest neighbours (Å) after each atom.
Sites, in units of the cell vectors:
Br 0.2500 0.3447 0.8816  3 Th 2.99-3.11
Th 0.2500 0.3005 0.6350  2 Fe 2.59
Br 0.7500 0.6048 0.6215  5 Th 3.14-3.39
Br 0.2500 0.3952 0.3785  5 Th 3.14-3.39
Th 0.7500 0.6995 0.3650  2 Fe 2.59
Th 0.2500 0.9102 0.6142  2 Fe 2.67
Br 0.2500 0.8127 0.8725  4 Th 3.10-3.20
Fe 0.7500 0.1103 0.6361  5 Th 2.59-2.87
Th 0.2500 0.9218 0.1232  1 Fe 2.87, 5 Br 3.10-3.20
Th 0.7500 0.0782 0.8768  1 Fe 2.87, 5 Br 3.10-3.20
Fe 0.2500 0.8897 0.3639  5 Th 2.59-2.87
Br 0.7500 0.1873 0.1275  4 Th 3.10-3.20
Br 0.7500 0.6553 0.1184  3 Th 2.99-3.11
Th 0.7500 0.0898 0.3858  2 Fe 2.67

---

Below is a relaxed structure of ThFeBr, with properties calculated at the PBE-GGA level.

Computed properties:
The space-group type is No. 12. Its calculated volume is 162 Å³/cell. Its formation energy without anion corrections is -0.8517 eV/atom.

Unit cell a=3.9856 b=3.9856 c=12.0052 alpha=90.17 beta=99.38 gamma=120.01
With the nearest neighbours (Å) after each atom.
Sites, in units of the cell vectors:
Fe 0.6670 0.8335 0.5005  3 Fe 2.30
Th 0.8924 0.4447 0.3371  6 Fe 2.99-3.00, 3 Br 3.13
Br 0.5599 0.2832 0.8431  3 Th 3.13
Fe 0.3330 0.1665 0.4995  3 Fe 2.30
Br 0.4401 0.7168 0.1569  3 Th 3.13
Th 0.1076 0.5553 0.6629  6 Fe 2.99-3.00, 3 Br 3.13

---

Below is a relaxed structure of TiFeBr3, with properties calculated at the PBE-GGA level.

Computed properties:
The space-group type is No. 221. Its calculated volume is 114 Å³/cell. Its formation energy without anion corrections is 0.4704 eV/atom.

Unit cell a=4.8527 b=4.8527 c=4.8527 alpha=90.00 beta=90.00 gamma=90.00
With the nearest neighbours (Å) after each atom.
Sites, in units of the cell vectors:
Ti 0.5000 0.5000 0.5000  12 Br 3.43
Br 0.0000 0.5000 0.0000  2 Fe 2.43
Br 0.5000 0.0000 0.0000  2 Fe 2.43
Fe 0.0000 0.0000 0.0000  6 Br 2.43
Br 0.0000 0.0000 0.5000  2 Fe 2.43

---

Below is a relaxed structure of TiFe2Br, with properties calculated at the PBE-GGA level.

Computed properties:
The space-group type is No. 122. Its calculated volume is 117 Å³/cell. Its formation energy without anion corrections is 0.7402 eV/atom.

Unit cell a=3.8389 b=3.8389 c=8.3611 alpha=76.73 beta=76.73 gamma=90.00
With the nearest neighbours (Å) after each atom.
Sites, in units of the cell vectors:
Br 0.0000 0.0000 0.0000  4 Fe 2.38
Fe 0.1149 0.6250 0.2500  2 Br 2.38, 2 Ti 2.41, 2 Fe 2.66
Ti 0.5000 0.5000 0.0000  4 Fe 2.41
Ti 0.2500 0.7500 0.5000  4 Fe 2.41
Fe 0.8750 0.8851 0.7500  2 Br 2.38, 2 Ti 2.41, 2 Fe 2.66
Fe 0.6351 0.1250 0.2500  2 Br 2.38, 2 Ti 2.41, 2 Fe 2.66
Fe 0.3750 0.3649 0.7500  2 Br 2.38, 2 Ti 2.41, 2 Fe 2.66
Br 0.7500 0.2500 0.5000  4 Fe 2.38

---

Below is a relaxed structure of TiFe2Br, with properties calculated at the PBE-GGA level.

Computed properties:
The space-group type is No. 225. Its calculated volume is 57 Å³/cell. Its formation energy without anion corrections is 0.6089 eV/atom.

Unit cell a=4.3237 b=4.3237 c=4.3237 alpha=60.00 beta=60.00 gamma=60.00
With the nearest neighbours (Å) after each atom.
Sites, in units of the cell vectors:
Fe 0.7500 0.7500 0.7500  4 Br 2.65, 4 Ti 2.65
Br 0.5000 0.5000 0.5000  8 Fe 2.65
Ti 0.0000 0.0000 0.0000  8 Fe 2.65
Fe 0.2500 0.2500 0.2500  4 Br 2.65, 4 Ti 2.65

---

Below is a relaxed structure of TiFe2Br8, with properties calculated at the PBE-GGA level.

Computed properties:
The space-group type is No. 12. Its calculated volume is 387 Å³/cell. Its formation energy without anion corrections is -0.7358 eV/atom.

Unit cell a=6.2359 b=8.0128 c=8.0128 alpha=75.41 beta=88.32 gamma=88.32
With the nearest neighbours (Å) after each atom.
Sites, in units of the cell vectors:
Br 0.7482 0.1678 0.1678  1 Fe 2.45, 1 Ti 2.60
Br 0.2208 0.2763 0.8899  1 Fe 2.41, 1 Ti 2.59
Br 0.2208 0.8899 0.2763  1 Fe 2.41, 1 Ti 2.59
Br 0.7792 0.1101 0.7237  1 Fe 2.41, 1 Ti 2.59
Fe 0.6443 0.8230 0.8230  4 Br 2.30-2.45
Br 0.7792 0.7237 0.1101  1 Fe 2.41, 1 Ti 2.59
Br 0.2667 0.3547 0.3547  1 Fe 2.30
Ti 0.0000 0.0000 0.0000  6 Br 2.59-2.60
Br 0.7333 0.6453 0.6453  1 Fe 2.30
Br 0.2518 0.8322 0.8322  1 Fe 2.45, 1 Ti 2.60
Fe 0.3557 0.1770 0.1770  4 Br 2.30-2.45

---

Below is a relaxed structure of TiFe2Br8, with properties calculated at the PBE-GGA level.

Computed properties:
The space-group type is No. 164. Its calculated volume is 398 Å³/cell. Its formation energy without anion corrections is -0.6133 eV/atom.

Unit cell a=8.0802 b=7.5388 c=7.5388 alpha=120.00 beta=90.00 gamma=90.00
With the nearest neighbours (Å) after each atom.
Sites, in units of the cell vectors:
Fe 0.7814 0.3333 0.6667  4 Br 2.30-2.41
Br 0.6912 0.6857 0.8428  1 Fe 2.41, 1 Ti 2.57
Fe 0.2186 0.6667 0.3333  4 Br 2.30-2.41
Br 0.3088 0.8428 0.6857  1 Fe 2.41, 1 Ti 2.57
Br 0.6912 0.1572 0.3143  1 Fe 2.41, 1 Ti 2.57
Br 0.3088 0.8428 0.1572  1 Fe 2.41, 1 Ti 2.57
Br 0.9342 0.6667 0.3333  1 Fe 2.30
Br 0.6912 0.1572 0.8428  1 Fe 2.41, 1 Ti 2.57
Br 0.0658 0.3333 0.6667  1 Fe 2.30
Ti 0.5000 0.0000 0.0000  6 Br 2.57
Br 0.3088 0.3143 0.1572  1 Fe 2.41, 1 Ti 2.57

---

Below is a relaxed structure of TlFeBr, with properties calculated at the PBE-GGA level.

Computed properties:
The space-group type is No. 216. Its calculated volume is 77 Å³/cell. Its formation energy without anion corrections is 0.5232 eV/atom.

Unit cell a=4.7706 b=4.7706 c=4.7706 alpha=60.00 beta=60.00 gamma=60.00
With the nearest neighbours (Å) after each atom.
Sites, in units of the cell vectors:
Br 0.5000 0.5000 0.5000  4 Fe 2.92
Fe 0.7500 0.7500 0.7500  4 Tl 2.92, 4 Br 2.92
Tl 0.0000 0.0000 0.0000  4 Fe 2.92

---

Below is a relaxed structure of Tl4FeBr, with properties calculated at the PBE-GGA level.

Computed properties:
The space-group type is No. 216. Its calculated volume is 187 Å³/cell. Its formation energy without anion corrections is 0.4743 eV/atom.

Unit cell a=6.4187 b=6.4187 c=6.4187 alpha=60.00 beta=60.00 gamma=60.00
With the nearest neighbours (Å) after each atom.
Sites, in units of the cell vectors:
Fe 0.0000 0.0000 0.0000  12 Tl 3.76, 4 Br 3.93
Tl 0.8756 0.3748 0.3748  6 Tl 3.20-3.21
Tl 0.3748 0.3748 0.3748  6 Tl 3.20-3.21
Br 0.7500 0.7500 0.7500  12 Tl 3.76, 4 Fe 3.93
Tl 0.3748 0.8756 0.3748  6 Tl 3.20-3.21
Tl 0.3748 0.3748 0.8756  6 Tl 3.20-3.21

---

Below is a relaxed structure of TlFe2Br, with properties calculated at the PBE-GGA level.

Computed properties:
The space-group type is No. 65. Its calculated volume is 79 Å³/cell. Its formation energy without anion corrections is 0.6844 eV/atom.

Unit cell a=3.3234 b=3.3234 c=8.6776 alpha=90.00 beta=90.00 gamma=124.07
With the nearest neighbours (Å) after each atom.
Sites, in units of the cell vectors:
Fe 0.0000 0.0000 0.5139  2 Br 2.57, 2 Tl 2.77
Fe 0.0000 0.0000 0.9861  2 Br 2.57, 2 Tl 2.77
Tl 0.5000 0.5000 0.2500  4 Fe 2.77
Br 0.5000 0.5000 0.7500  4 Fe 2.57